Record 1
The following is a DFT calculation (PBE-GGA) of crystalline Cs3Cd2GeBr9 at its relaxed geometry.

Calculated values
The value obtained for the volume is 529.7 Å³ per cell. The value obtained for the uncorrected formation energy is -1.19 eV per atom. The total energy is -41.889 eV for the cell shown.

Unit cell a=7.936 b=7.936 c=9.712 alpha=90.00 beta=90.00 gamma=120.00
Fractional positions:
1 Br 0.166 0.333 0.334
2 Br 0.333 0.166 0.666
3 Br 0.500 0.000 0.000
4 Br 0.834 0.166 0.666
5 Br 0.834 0.667 0.666
6 Br 0.000 0.500 0.000
7 Br 0.166 0.834 0.334
8 Br 0.667 0.834 0.334
9 Br 0.500 0.500 0.000
10 Cs 0.667 0.333 0.332
11 Cs 0.000 0.000 0.000
12 Cs 0.333 0.667 0.668
13 Ge 0.000 0.000 0.500
14 Cd 0.333 0.667 0.167
15 Cd 0.667 0.333 0.833



Record 2
The following is a DFT calculation (PBE-GGA) of crystalline Ho6Fe2Pb at its relaxed geometry.

Calculated values
The value obtained for the volume is 458.7 Å³ per cell. The energy of formation is -0.185 eV/atom. The value obtained for the density of states at the Fermi level is 17.087 states/eV per cell. The total energy is -99.533 eV for the cell shown.

Unit cell a=8.418 b=8.418 c=8.418 alpha=107.25 beta=111.23 gamma=109.96
Fractional positions:
1 Fe 0.388 0.388 0.000
2 Fe 0.612 0.612 0.000
3 Fe 0.500 0.892 0.392
4 Fe 0.500 0.108 0.608
5 Ho 0.700 0.687 0.387
6 Ho 0.477 0.188 0.289
7 Ho 0.220 0.990 0.770
8 Ho 0.780 0.551 0.770
9 Ho 0.300 0.687 0.987
10 Ho 0.523 0.812 0.711
11 Ho 0.780 0.010 0.230
12 Ho 0.300 0.313 0.613
13 Ho 0.700 0.313 0.013
14 Ho 0.102 0.812 0.289
15 Ho 0.220 0.449 0.230
16 Ho 0.898 0.188 0.711
17 Pb 0.000 0.500 0.500
18 Pb 0.000 0.000 0.000



Record 3
The following is a DFT calculation (PBE-GGA) of crystalline TbYPtRh at its relaxed geometry.

Calculated values
The value obtained for the volume is 87.9 Å³ per cell. The energy of formation is -1.041 eV/atom. For the distance to the lowest polymorph of the same formula, the calculation gives 0.0000 eV/atom. The value obtained for the density of states at the Fermi level is 2.044 states/eV per cell. The total energy is -28.651 eV for the cell shown.

Unit cell a=3.812 b=4.333 c=5.655 alpha=90.00 beta=109.70 gamma=90.00
Fractional positions:
1 Rh 0.411 0.000 0.822
2 Pt 0.585 0.500 0.171
3 Tb 0.143 0.000 0.285
4 Y 0.861 0.500 0.721



Record 4
The following is a DFT calculation (PBE-GGA) of crystalline BaMg2Ni at its relaxed geometry.

Calculated values
The value obtained for the volume is 113.4 Å³ per cell. The energy of formation is 0.151 eV/atom. The value obtained for the density of states at the Fermi level is 2.504 states/eV per cell. The total energy is -10.291 eV for the cell shown.

Unit cell a=5.473 b=5.473 c=5.473 alpha=125.93 beta=115.53 gamma=88.98
Fractional positions:
1 Mg 0.059 0.059 0.000
2 Mg 0.293 0.793 0.500
3 Ni 0.396 0.396 0.000
4 Ba 0.753 0.253 0.500